Record 1
TmThAu3 | Alexandria | PBE | optimized geometry; energy of formation = -74.7 kJ/mol of atoms; space group = Cmcm, No. 63; total moment = 0.00 μB/cell; electronic total energy = -5.12 eV per atom
1.0
0.0071 -2.3607 -2.6012
4.6209 -0.5866 0.5450
-2.4045 -9.0841 10.6095
Au Th Tm
6 2 2
direct
0.3148 0.7500 0.6296
0.5255 0.7500 0.0509
0.6852 0.2500 0.3704
0.3760 0.2500 0.7520
0.6240 0.7500 0.2480
0.4745 0.2500 0.9491
0.0746 0.2500 0.1493
0.9254 0.7500 0.8507
0.2083 0.7500 0.4166
0.7917 0.2500 0.5834

=====

Record 2
K3NiW | Alexandria | PBE | optimized geometry; energy of formation = 162.8 kJ/mol of atoms; space group = Pm-3m, No. 221; total moment = 5.00 μB/cell; electronic total energy = -2.72 eV per atom
1.0
6.0319 0.0000 0.0000
0.0000 6.0319 0.0000
0.0000 0.0000 6.0319
K W Ni
3 1 1
direct
0.0000 0.0000 0.5000
0.5000 0.0000 0.0000
0.0000 0.5000 0.0000
0.5000 0.5000 0.5000
0.0000 0.0000 0.0000

=====

Record 3
Y2Tm2Ag3 | Alexandria | PBE | optimized geometry; energy of formation = -17.1 kJ/mol of atoms; space group = P-1, No. 2; total moment = 0.00 μB/cell; electronic total energy = -4.52 eV per atom
1.0
0.8246 4.9712 0.2926
-2.0139 -1.9717 -4.1821
-7.4665 -1.6140 4.3611
Tm Ag Y
2 3 2
direct
0.2483 0.6240 0.8719
0.7517 0.3760 0.1281
0.5035 0.2516 0.7547
0.0000 0.0000 0.0000
0.4965 0.7484 0.2453
0.7483 0.8738 0.6213
0.2517 0.1262 0.3787

=====

Record 4
PuFe2Si2 | Alexandria | PBE | optimized geometry; formation energy (no corrections) = -504 meV/atom; space group = I4/mmm, No. 139; total moment = 4.53 μB/cell; electronic total energy = -8.92 eV per atom
1.0
3.9358 0.1942 0.0001
-0.1941 3.9358 0.0001
-1.8696 -2.0636 4.8091
Fe Si Pu
2 2 1
direct
0.7501 0.2499 0.5000
0.2499 0.7501 0.5000
0.6319 0.6319 0.2639
0.3681 0.3681 0.7361
0.0000 0.0000 0.0000